A plane-wave DFT calculation with PBEsol was carried out for crystalline CsY2SiAu at its relaxed geometry.

The total moment is 0.00 μB/f.u. The calculation puts the uncorrected formation energy at 75 kJ/mol of formula units.

Unit cell a=4.836 b=5.509 c=5.509 alpha=90.00 beta=90.00 gamma=90.00
Element x y z (fractional)
Cs (0.500, 0.500, 0.500)
Y (0.000, 0.000, 0.500)
Y (0.000, 0.500, 0.000)
Si (0.000, 0.000, 0.000)
Au (0.500, 0.000, 0.000)

A plane-wave DFT calculation with PBEsol was carried out for crystalline Li4Mn3Cr3Sn2O16 at its relaxed geometry.

The total moment is 17.03 μB/f.u. The calculation puts the uncorrected formation energy at -5087 kJ/mol of formula units.

Unit cell a=5.805 b=5.805 c=9.582 alpha=89.66 beta=89.66 gamma=59.78
Each line ends with the local moment (μB).
Element x y z (fractional)
Li (0.331, 0.331, 0.103)  0.00
Li (0.002, 0.002, 0.006)  0.00
Li (0.004, 0.004, 0.505)  0.00
Li (0.663, 0.663, 0.604)  0.00
Mn (0.169, 0.169, 0.785)  2.87
Mn (0.830, 0.340, 0.285)  2.51
Mn (0.340, 0.830, 0.285)  2.51
Cr (0.662, 0.168, 0.785)  2.73
Cr (0.168, 0.662, 0.785)  2.73
Cr (0.832, 0.832, 0.285)  2.69
Sn (0.335, 0.335, 0.508)  0.06
Sn (0.668, 0.668, 0.008)  0.06
O (0.686, 0.162, 0.398)  0.03
O (0.483, 0.483, 0.664)  -0.01
O (0.328, 0.328, 0.890)  0.03
O (0.004, 0.004, 0.691)  0.02
O (0.003, 0.003, 0.192)  0.01
O (0.162, 0.686, 0.398)  0.03
O (0.480, 0.030, 0.667)  -0.01
O (0.030, 0.480, 0.667)  -0.01
O (0.843, 0.843, 0.902)  0.02
O (0.161, 0.161, 0.395)  0.03
O (0.966, 0.511, 0.167)  0.00
O (0.511, 0.966, 0.167)  0.00
O (0.665, 0.665, 0.390)  0.02
O (0.845, 0.318, 0.897)  0.03
O (0.516, 0.516, 0.166)  -0.01
O (0.318, 0.845, 0.897)  0.03

A plane-wave DFT calculation with PBEsol was carried out for crystalline TiTlRe3 at its relaxed geometry.

The total moment is 0.84 μB/f.u. The energy of formation from the pure elements is 2.002 eV per atom.

Unit cell a=4.558 b=4.558 c=4.558 alpha=90.00 beta=90.00 gamma=90.00
Each line ends with the local moment (μB).
Element x y z (fractional)
Re (0.000, 0.500, 0.000)  0.26
Re (0.000, 0.000, 0.500)  0.26
Re (0.500, 0.000, 0.000)  0.26
Tl (0.500, 0.500, 0.500)  -0.01
Ti (0.000, 0.000, 0.000)  -0.03

A plane-wave DFT calculation with PBEsol was carried out for crystalline RbIrSe2O at its relaxed geometry.

The total moment is 0.02 μB/f.u. The calculation puts the uncorrected formation energy at 142 kJ/mol of formula units.

Unit cell a=3.558 b=5.678 c=5.678 alpha=90.00 beta=90.00 gamma=90.00
Element x y z (fractional)
O (0.000, 0.000, 0.000)
Ir (0.500, 0.000, 0.000)
Se (0.000, 0.000, 0.500)
Se (0.000, 0.500, 0.000)
Rb (0.500, 0.500, 0.500)

A plane-wave DFT calculation with PBEsol was carried out for crystalline LiV2O5 at its relaxed geometry.

The total moment is 0.00 μB/f.u. The calculation puts the uncorrected formation energy at -1797 kJ/mol of formula units. The calculation puts the energy above the most stable polymorph in this dataset at 15 meV per atom.

Unit cell a=3.558 b=4.511 c=11.235 alpha=90.00 beta=90.00 gamma=90.00
Element x y z (fractional)
Li (0.000, 0.230, 0.500)
Li (0.500, 0.770, 0.000)
O (0.500, 0.972, 0.365)
O (0.000, 0.514, 0.000)
O (0.000, 0.028, 0.135)
O (0.500, 0.486, 0.500)
O (0.000, 0.028, 0.865)
O (0.500, 0.972, 0.635)
O (0.500, 0.511, 0.175)
O (0.500, 0.511, 0.825)
O (0.000, 0.489, 0.325)
O (0.000, 0.489, 0.675)
V (0.500, 0.617, 0.348)
V (0.000, 0.383, 0.152)
V (0.500, 0.617, 0.652)
V (0.000, 0.383, 0.848)

A plane-wave DFT calculation with PBEsol was carried out for crystalline TeIr at its relaxed geometry.

The total moment is 0.00 μB/f.u. The calculation puts the uncorrected formation energy at 23 kJ/mol of formula units.

Unit cell a=3.774 b=5.246 c=7.828 alpha=90.00 beta=90.00 gamma=90.00
Element x y z (fractional)
Ir (0.750, 0.868, 0.593)
Ir (0.250, 0.368, 0.907)
Ir (0.750, 0.632, 0.093)
Ir (0.250, 0.132, 0.407)
Te (0.750, 0.363, 0.670)
Te (0.250, 0.863, 0.830)
Te (0.750, 0.137, 0.170)
Te (0.250, 0.637, 0.330)

A plane-wave DFT calculation with PBEsol was carried out for crystalline RbSn3Os at its relaxed geometry.

The total moment is 0.00 μB/f.u. The energy of formation from the pure elements is 0.286 eV per atom.

Unit cell a=5.196 b=5.196 c=5.196 alpha=90.00 beta=90.00 gamma=90.00
Element x y z (fractional)
Os (0.000, 0.000, 0.000)
Sn (0.000, 0.500, 0.000)
Sn (0.000, 0.000, 0.500)
Sn (0.500, 0.000, 0.000)
Rb (0.500, 0.500, 0.500)

A plane-wave DFT calculation with PBEsol was carried out for crystalline Ta3PH at its relaxed geometry.

Its raw total energy is -47.02 eV/cell. The total moment is 0.00 μB/f.u.

Unit cell a=4.045 b=4.045 c=4.045 alpha=90.00 beta=90.00 gamma=90.00
Element x y z (fractional)
P (0.500, 0.500, 0.500)
H (0.000, 0.000, 0.000)
Ta (0.000, 0.500, 0.000)
Ta (0.000, 0.000, 0.500)
Ta (0.500, 0.000, 0.000)

A plane-wave DFT calculation with PBEsol was carried out for crystalline Ba2TeH2 at its relaxed geometry.

Its raw total energy is -19.48 eV/cell. The total moment is 0.00 μB/f.u.

Unit cell a=4.342 b=4.342 c=7.497 alpha=106.83 beta=106.83 gamma=90.00
Element x y z (fractional)
H (0.250, 0.750, 0.500)
H (0.750, 0.250, 0.500)
Te (0.000, 0.000, 0.000)
Ba (0.359, 0.359, 0.718)
Ba (0.641, 0.641, 0.282)

A plane-wave DFT calculation with PBEsol was carried out for crystalline MnHg2Ir at its relaxed geometry.

The total moment is 3.87 μB/f.u. The energy of formation from the pure elements is 0.368 eV per atom. The calculation puts the energy above the most stable polymorph in this dataset at 153 meV per atom.

Unit cell a=3.072 b=4.842 c=4.897 alpha=102.13 beta=108.28 gamma=90.00
Each line ends with the local moment (μB).
Element x y z (fractional)
Hg (0.251, 0.251, 0.502)  -0.03
Hg (0.749, 0.749, 0.498)  -0.03
Ir (0.500, 0.000, 0.000)  0.13
Mn (0.000, 0.500, 0.000)  3.67

A plane-wave DFT calculation with PBEsol was carried out for crystalline Li2SnP4O12 at its relaxed geometry.

The total moment is 0.00 μB/f.u. The calculation puts the uncorrected formation energy at -3871 kJ/mol of formula units. The calculation puts the energy above the most stable polymorph in this dataset at 11 meV per atom.

Unit cell a=7.212 b=9.290 c=9.290 alpha=121.40 beta=91.28 gamma=91.28
Element x y z (fractional)
Li (0.182, 0.836, 0.467)
Li (0.682, 0.467, 0.836)
Li (0.318, 0.533, 0.164)
Li (0.818, 0.164, 0.533)
Sn (0.250, 0.114, 0.886)
Sn (0.750, 0.886, 0.114)
P (0.314, 0.759, 0.931)
P (0.814, 0.931, 0.759)
P (0.117, 0.436, 0.796)
P (0.617, 0.796, 0.436)
P (0.383, 0.204, 0.564)
P (0.883, 0.564, 0.204)
P (0.186, 0.069, 0.241)
P (0.686, 0.241, 0.069)
O (0.326, 0.857, 0.845)
O (0.826, 0.845, 0.857)
O (0.483, 0.671, 0.938)
O (0.983, 0.938, 0.671)
O (0.135, 0.632, 0.855)
O (0.635, 0.855, 0.632)
O (0.198, 0.410, 0.931)
O (0.698, 0.931, 0.410)
O (0.423, 0.729, 0.374)
O (0.250, 0.877, 0.123)
O (0.250, 0.362, 0.638)
O (0.923, 0.374, 0.729)
O (0.077, 0.626, 0.271)
O (0.750, 0.638, 0.362)
O (0.750, 0.123, 0.877)
O (0.577, 0.271, 0.626)
O (0.302, 0.069, 0.590)
O (0.802, 0.590, 0.069)
O (0.365, 0.145, 0.368)
O (0.865, 0.368, 0.145)
O (0.017, 0.062, 0.329)
O (0.517, 0.329, 0.062)
O (0.174, 0.155, 0.143)
O (0.674, 0.143, 0.155)

A plane-wave DFT calculation with PBEsol was carried out for crystalline La4Te3N2 at its relaxed geometry.

The total moment is 0.00 μB/f.u. The calculation puts the uncorrected formation energy at -1464 kJ/mol of formula units.

Unit cell a=7.401 b=11.526 c=11.664 alpha=90.00 beta=90.00 gamma=90.00
Element x y z (fractional)
La (0.351, 0.891, 0.948)
La (0.149, 0.391, 0.052)
La (0.779, 0.971, 0.750)
La (0.721, 0.471, 0.250)
La (0.221, 0.029, 0.250)
La (0.649, 0.109, 0.448)
La (0.649, 0.109, 0.052)
La (0.089, 0.661, 0.250)
La (0.279, 0.529, 0.750)
La (0.851, 0.609, 0.948)
La (0.911, 0.339, 0.750)
La (0.411, 0.161, 0.750)
La (0.149, 0.391, 0.448)
La (0.351, 0.891, 0.552)
La (0.589, 0.839, 0.250)
La (0.851, 0.609, 0.552)
Te (0.069, 0.135, 0.576)
Te (0.931, 0.865, 0.076)
Te (0.569, 0.365, 0.576)
Te (0.578, 0.732, 0.750)
Te (0.431, 0.635, 0.424)
Te (0.069, 0.135, 0.924)
Te (0.922, 0.232, 0.250)
Te (0.431, 0.635, 0.076)
Te (0.931, 0.865, 0.424)
Te (0.422, 0.268, 0.250)
Te (0.569, 0.365, 0.924)
Te (0.078, 0.768, 0.750)
N (0.945, 0.535, 0.378)
N (0.445, 0.965, 0.122)
N (0.555, 0.035, 0.622)
N (0.055, 0.465, 0.622)
N (0.555, 0.035, 0.878)
N (0.055, 0.465, 0.878)
N (0.445, 0.965, 0.378)
N (0.945, 0.535, 0.122)

A plane-wave DFT calculation with PBEsol was carried out for crystalline InSn2Bi at its relaxed geometry.

The total moment is 0.00 μB/f.u. The energy of formation from the pure elements is 0.049 eV per atom. The calculation puts the energy above the most stable polymorph in this dataset at 0 meV per atom.

Unit cell a=5.374 b=5.374 c=5.374 alpha=60.00 beta=60.00 gamma=60.00
Element x y z (fractional)
Bi (0.500, 0.500, 0.500)
Sn (0.250, 0.250, 0.250)
Sn (0.750, 0.750, 0.750)
In (0.000, 0.000, 0.000)

A plane-wave DFT calculation with PBEsol was carried out for crystalline BaDyO3 at its relaxed geometry.

The total moment is 1.02 μB/f.u. The calculation puts the uncorrected formation energy at -1313 kJ/mol of formula units.

Unit cell a=4.374 b=4.374 c=4.374 alpha=90.00 beta=90.00 gamma=90.00
Each line ends with the local moment (μB).
Element x y z (fractional)
Ba (0.500, 0.500, 0.500)  -0.01
O (0.000, 0.500, 0.000)  0.29
O (0.500, 0.000, 0.000)  0.29
O (0.000, 0.000, 0.500)  0.29
Dy (0.000, 0.000, 0.000)  0.11

A plane-wave DFT calculation with PBEsol was carried out for crystalline CaPAu at its relaxed geometry.

The total moment is 0.00 μB/f.u. The energy of formation from the pure elements is -0.918 eV per atom.

Unit cell a=4.230 b=4.230 c=7.817 alpha=90.00 beta=90.00 gamma=120.00
Element x y z (fractional)
P (0.667, 0.333, 0.250)
P (0.333, 0.667, 0.750)
Ca (0.000, 0.000, 0.000)
Ca (0.000, 0.000, 0.500)
Au (0.667, 0.333, 0.750)
Au (0.333, 0.667, 0.250)

A plane-wave DFT calculation with PBEsol was carried out for crystalline Sr2LaSi at its relaxed geometry.

The total moment is 0.00 μB/f.u. The calculation puts the uncorrected formation energy at -65 kJ/mol of formula units.

Unit cell a=3.866 b=4.764 c=8.763 alpha=105.77 beta=102.74 gamma=90.00
Element x y z (fractional)
La (0.500, 0.000, 0.000)
Si (0.000, 0.500, 0.000)
Sr (0.663, 0.663, 0.325)
Sr (0.337, 0.337, 0.675)

A plane-wave DFT calculation with PBEsol was carried out for crystalline FeSb3Cl at its relaxed geometry.

The total moment is 2.99 μB/f.u. The calculation puts the uncorrected formation energy at 96 kJ/mol of formula units.

Unit cell a=4.923 b=4.923 c=4.923 alpha=90.00 beta=90.00 gamma=90.00
Each line ends with the local moment (μB).
Element x y z (fractional)
Sb (0.000, 0.500, 0.000)  0.12
Sb (0.000, 0.000, 0.500)  0.12
Sb (0.500, 0.000, 0.000)  0.12
Fe (0.000, 0.000, 0.000)  1.98
Cl (0.500, 0.500, 0.500)  0.13

A plane-wave DFT calculation with PBEsol was carried out for crystalline ZrAl5Ni2 at its relaxed geometry.

The total moment is 0.00 μB/f.u. The energy of formation from the pure elements is -0.608 eV per atom.

Unit cell a=3.986 b=3.986 c=7.758 alpha=104.89 beta=104.89 gamma=90.00
Element x y z (fractional)
Ni (0.760, 0.760, 0.520)
Ni (0.240, 0.240, 0.480)
Al (0.500, 0.500, 0.000)
Al (0.852, 0.352, 0.704)
Al (0.352, 0.852, 0.704)
Al (0.148, 0.648, 0.296)
Al (0.648, 0.148, 0.296)
Zr (0.000, 0.000, 0.000)

A plane-wave DFT calculation with PBEsol was carried out for crystalline ZrTe2Mo at its relaxed geometry.

The total moment is 0.00 μB/f.u. The calculation puts the uncorrected formation energy at -85 kJ/mol of formula units. The calculation puts the energy above the most stable polymorph in this dataset at 50 meV per atom.

Unit cell a=3.458 b=4.716 c=5.145 alpha=90.00 beta=90.00 gamma=90.00
Element x y z (fractional)
Mo (0.125, 0.740, 0.500)
Te (0.125, 0.981, 0.000)
Te (0.625, 0.272, 0.500)
Zr (0.625, 0.507, 0.000)

A plane-wave DFT calculation with PBEsol was carried out for crystalline CoHgPb2 at its relaxed geometry.

The total moment is 0.48 μB/f.u. The energy of formation from the pure elements is 0.297 eV per atom.

Unit cell a=3.483 b=3.508 c=8.675 alpha=101.42 beta=90.00 gamma=119.77
Each line ends with the local moment (μB).
Element x y z (fractional)
Co (0.000, 0.000, 0.500)  0.53
Hg (0.500, 0.000, 0.000)  0.00
Pb (0.734, 0.467, 0.701)  -0.01
Pb (0.266, 0.533, 0.299)  -0.01

A plane-wave DFT calculation with PBEsol was carried out for crystalline Sn2OF at its relaxed geometry.

The total moment is 0.00 μB/f.u. The calculation puts the uncorrected formation energy at -321 kJ/mol of formula units.

Unit cell a=4.478 b=4.478 c=4.478 alpha=60.00 beta=60.00 gamma=60.00
Element x y z (fractional)
Sn (0.250, 0.250, 0.250)
Sn (0.750, 0.750, 0.750)
O (0.000, 0.000, 0.000)
F (0.500, 0.500, 0.500)

A plane-wave DFT calculation with PBEsol was carried out for crystalline HfCdCu2Rh at its relaxed geometry.

The total moment is 0.00 μB/f.u. The energy of formation from the pure elements is 1.047 eV per atom.

Unit cell a=4.453 b=4.453 c=4.887 alpha=90.00 beta=90.00 gamma=90.00
Element x y z (fractional)
Rh (0.000, 0.000, 0.500)
Hf (0.500, 0.500, 0.500)
Cu (0.000, 0.500, 0.000)
Cu (0.500, 0.000, 0.000)
Cd (0.000, 0.000, 0.000)

A plane-wave DFT calculation with PBEsol was carried out for crystalline Cu2AsPt at its relaxed geometry.

The total moment is 0.00 μB/f.u. The energy of formation from the pure elements is -0.038 eV per atom.

Unit cell a=2.811 b=4.554 c=4.554 alpha=111.10 beta=89.96 gamma=89.96
Element x y z (fractional)
As (0.500, 0.000, 0.000)
Pt (0.500, 0.500, 0.500)
Cu (0.000, 0.500, 0.000)
Cu (0.000, 0.000, 0.500)